{
  "formula": "NaZn4Ga8",
  "functional": "PBE-GGA",
  "state": "relaxed",
  "magnetic_moment_mub_per_cell": 0.000,
  "final_energy_ev_per_atom": -2.364,
  "ef_ev_per_atom": -0.0080,
  "crystal_system": "tetragonal",
  "density_g_cm3": 5.8,
  "lattice_angstrom": [[-0.226, -4.764, 1.881], [5.921, -3.803, -1.933], [3.078, -0.296, 6.610]],
  "species": ["Ga", "Zn", "Zn", "Ga", "Ga", "Zn", "Na", "Ga", "Ga", "Ga", "Zn", "Ga", "Ga"],
  "frac_coords": [[0.000, 0.352, 0.648], [0.500, 0.500, 0.000], [0.500, 0.000, 0.500], [0.500, 0.211, 0.789], [0.289, 0.211, 0.211], [0.000, 0.000, 0.500], [0.000, 0.000, 0.000], [0.648, 0.352, 0.352], [0.352, 0.648, 0.648], [0.711, 0.789, 0.789], [0.000, 0.500, 0.000], [0.000, 0.648, 0.352], [0.500, 0.789, 0.211]]
}